First-principles (GGA-PBE) data for a relaxed structure of Cs2YNi, as listed in the Alexandria database.

a = 6.268 Å, b = 6.268 Å, c = 6.268 Å
α = 60.00°, β = 60.00°, γ = 60.00°
Site moments in Bohr magnetons follow the coordinates.
Sites, in units of the cell vectors:
Ni 0.000 0.000 0.000  -0.65
Cs 0.750 0.750 0.750  0.04
Cs 0.250 0.250 0.250  0.04
Y 0.500 0.500 0.500  0.60

Results
Energy (eV/atom): -2.27
Space-group type: No. 225
E above lowest polymorph (meV per atom): 594
Formation energy from the elements (meV/atom): 1216